No. 1
Entry from the Alexandria database: crystalline BaCa3Ir at its relaxed geometry (PBE).

Output
ΔE to the lowest computed polymorph in meV per atom: 4
Calculated volume in A^3/atom: 38.12

Cell: 8.362 8.362 6.294 Å, 90.00 90.00 120.00°
Fractional coordinates of all 10 atoms:
Ba 0.333 0.667 0.250
Ba 0.667 0.333 0.750
Ca 0.160 0.321 0.750
Ca 0.160 0.840 0.750
Ca 0.321 0.160 0.250
Ca 0.679 0.840 0.750
Ca 0.840 0.160 0.250
Ca 0.840 0.679 0.250
Ir 0.000 0.000 0.000
Ir 0.000 0.000 0.500

=====

No. 2
Entry from the Alexandria database: crystalline Ba2Ca4Ir at its relaxed geometry (PBE).

Output
Calculated volume in A^3/atom: 47.56

Cell: 11.325 11.325 11.325 Å, 151.36 151.36 40.94°
Fractional coordinates of all 7 atoms:
Ba 0.180 0.180 0.000
Ba 0.820 0.820 0.000
Ca 0.000 0.500 0.500
Ca 0.373 0.373 0.000
Ca 0.500 0.000 0.500
Ca 0.627 0.627 0.000
Ir 0.500 0.500 0.000

=====

Number 1: final energy -3.535 eV/atom, ΔE_f -0.886 eV per formula unit, size of the total moment 0.00 μB per atom. Number 2: final energy -3.039 eV/atom, ΔE_f -0.558 eV per formula unit, size of the total moment 0.00 μB per atom.